Computed, not measured: a relaxed ZrPtF3 crystal at the PBE level of DFT.

extended XYZ file:
```
5
Lattice="4.244 0.000 0.000 0.000 4.244 0.000 0.000 0.000 4.244" Properties=species:S:1:pos:R:3 pbc="T T T"
Zr 0.000 0.000 0.000
Pt 2.122 2.122 2.122
F 0.000 0.000 2.122
F 0.000 2.122 0.000
F 2.122 0.000 0.000
```

Computed properties:
The value obtained for the energy relative to the elements, uncorrected is -1807 meV per atom. The crystal system is cubic. As for the energy: -5.848 eV per atom.


Computed, not measured: a relaxed NbAlFe crystal at the PBE level of DFT.

extended XYZ file:
```
12
Lattice="8.164 0.000 0.000 0.000 2.498 4.251 0.000 -2.498 4.251" Properties=species:S:1:pos:R:3 pbc="T T T"
Nb 1.469 0.000 0.000
Nb 2.488 0.000 2.809
Nb 5.676 0.000 2.809
Nb 6.695 0.000 0.000
Al 1.973 0.000 5.722
Al 4.082 -1.280 4.878
Al 4.082 1.280 4.878
Al 6.192 0.000 5.722
Fe 0.000 -1.198 2.174
Fe 0.000 1.198 2.174
Fe 0.000 0.000 4.226
Fe 4.082 0.000 7.039
```

Computed properties:
The crystal system is orthorhombic. For the energy of formation from the pure elements, the calculation gives -31.7 kJ/mol of atoms. As for the energy: -7.754 eV per atom.


Computed, not measured: a relaxed KFe2As crystal at the PBE level of DFT.

extended XYZ file:
```
4
Lattice="-1.369 2.724 5.282 1.369 -2.724 5.282 1.369 2.724 -5.282" Properties=species:S:1:pos:R:3 pbc="T T T"
K 0.000 0.000 0.000
Fe 1.369 0.000 3.153
Fe 0.000 2.724 2.129
As 0.000 0.000 5.282
```

Computed properties:
The crystal system is orthorhombic. For the energy of formation from the pure elements, the calculation gives 64.3 kJ/mol of atoms. As for the energy: -5.002 eV per atom.


Computed, not measured: a relaxed TlSbRu2 crystal at the PBE level of DFT.

extended XYZ file:
```
4
Lattice="1.609 0.929 8.235 -1.609 0.929 8.235 0.000 -1.857 8.235" Properties=species:S:1:pos:R:3 pbc="T T T"
Tl 0.000 0.000 0.000
Sb 0.000 0.000 12.353
Ru 0.000 0.000 6.029
Ru 0.000 0.000 18.676
```

Computed properties:
The value obtained for the energy relative to the elements, uncorrected is 352 meV per atom. The crystal system is trigonal. As for the energy: -5.908 eV per atom.


Computed, not measured: a relaxed Pm4Ho5Tm crystal at the PBE level of DFT.

extended XYZ file:
```
10
Lattice="3.522 0.000 0.000 -1.751 8.561 0.000 -0.001 -0.015 11.152" Properties=species:S:1:pos:R:3 pbc="T T T"
Pm 0.000 0.519 2.781
Pm 0.012 5.884 2.791
Pm 1.757 2.662 8.361
Pm 1.769 8.026 8.371
Ho 0.002 2.963 0.564
Ho 0.001 2.965 4.997
Ho 1.760 -0.008 5.576
Ho 1.768 5.580 6.155
Ho 1.768 5.582 10.588
Tm 1.761 0.000 0.000
```

Computed properties:
The crystal system is triclinic. For the energy of formation from the pure elements, the calculation gives 18.3 kJ/mol of atoms. As for the energy: -4.447 eV per atom.


Computed, not measured: a relaxed ZnGa3Fe crystal at the PBE level of DFT.

extended XYZ file:
```
5
Lattice="4.590 0.000 0.000 0.000 4.590 0.000 0.000 0.000 4.590" Properties=species:S:1:pos:R:3 pbc="T T T"
Zn 0.000 0.000 0.000
Ga 0.000 2.295 2.295
Ga 2.295 0.000 2.295
Ga 2.295 2.295 0.000
Fe 2.295 2.295 2.295
```

Computed properties:
The crystal system is cubic. For the energy of formation from the pure elements, the calculation gives 12.0 kJ/mol of atoms. As for the energy: -3.639 eV per atom.


Number 6 is which compound? ZnGa3Fe


The lowest energy belongs to which entry? NbAlFe